[1]
Density functional theory data (PBEsol) for crystalline MgAl2Sb at its relaxed geometry.

Unit cell a=3.2566 b=3.2566 c=9.2837 alpha=79.90 beta=79.90 gamma=60.00
Closest atoms and distances in Å follow each position.
Fractional positions:
Al (0.7456, 0.7456, 0.7633)  3 Al 2.75, 3 Mg 2.94
Al (0.0056, 0.0056, 0.9833)  3 Al 2.75, 3 Sb 2.99
Sb (0.2538, 0.2538, 0.2386)  3 Al 2.99, 3 Mg 3.14, 6 Sb 3.26
Mg (0.4951, 0.4951, 0.5148)  3 Al 2.94, 3 Sb 3.14, 6 Mg 3.26

Values from the calculation:
calculated volume = 20.87 Å³/atom
magnetization = 0.000 μB/atom
ΔE_f (raw) = 105.6 meV/atom
space-group type = R3m, No. 160

---

[2]
Density functional theory data (PBEsol) for crystalline Sr2La2CuRuO8 at its relaxed geometry.

Unit cell a=3.8232 b=3.8232 c=12.5778 alpha=90.00 beta=90.00 gamma=90.00
Closest atoms and distances in Å follow each position.
Fractional positions:
O (0.0000, 0.0000, 0.1721)  1 Cu 2.17, 1 Sr 2.34
O (0.0000, 0.5000, 0.5000)  2 Ru 1.91
O (0.0000, 0.5000, 0.0000)  2 Cu 1.91
O (0.5000, 0.5000, 0.6682)  1 Ru 2.12
O (0.5000, 0.0000, 0.0000)  2 Cu 1.91
O (0.5000, 0.5000, 0.3318)  1 Ru 2.12
O (0.0000, 0.0000, 0.8279)  1 Cu 2.17, 1 Sr 2.34
O (0.5000, 0.0000, 0.5000)  2 Ru 1.91
Sr (0.0000, 0.0000, 0.3582)  5 O 2.34-2.61
Sr (0.0000, 0.0000, 0.6418)  5 O 2.34-2.61
La (0.5000, 0.5000, 0.1408)  5 O 2.40-2.61
La (0.5000, 0.5000, 0.8592)  5 O 2.40-2.61
Cu (0.0000, 0.0000, 0.0000)  4 O 1.91
Ru (0.5000, 0.5000, 0.5000)  6 O 1.91-2.12

Values from the calculation:
calculated volume = 13.13 Å³/atom
magnetization = 0.001 μB/atom
ΔE_f (raw) = -2359.2 meV/atom
space-group type = P4/mmm, No. 123

---

[3]
Density functional theory data (PBEsol) for crystalline K2YAgBr6 at its relaxed geometry.

Unit cell a=7.7796 b=7.7796 c=7.7796 alpha=60.00 beta=60.00 gamma=60.00
Closest atoms and distances in Å follow each position.
Fractional positions:
Y (0.5000, 0.5000, 0.5000)  6 Br 2.74
Br (0.2506, 0.7494, 0.7494)  1 Y 2.74, 1 Ag 2.76
Br (0.2506, 0.2506, 0.7494)  1 Y 2.74, 1 Ag 2.76
Br (0.2506, 0.7494, 0.2506)  1 Y 2.74, 1 Ag 2.76
Br (0.7494, 0.2506, 0.7494)  1 Y 2.74, 1 Ag 2.76
Br (0.7494, 0.7494, 0.2506)  1 Y 2.74, 1 Ag 2.76
Br (0.7494, 0.2506, 0.2506)  1 Y 2.74, 1 Ag 2.76
Ag (0.0000, 0.0000, 0.0000)  6 Br 2.76
K (0.7500, 0.7500, 0.7500)  12 Br 3.89
K (0.2500, 0.2500, 0.2500)  12 Br 3.89

Values from the calculation:
calculated volume = 33.29 Å³/atom
magnetization = 0.000 μB/atom
ΔE_f (raw) = -1465.4 meV/atom
space-group type = Fm-3m, No. 225

---

[4]
Density functional theory data (PBEsol) for crystalline CuSiAg3 at its relaxed geometry.

Unit cell a=4.6419 b=4.6419 c=4.6419 alpha=90.00 beta=90.00 gamma=90.00
Closest atoms and distances in Å follow each position.
Fractional positions:
Si (0.5000, 0.5000, 0.5000)  12 Ag 3.28
Ag (0.0000, 0.5000, 0.0000)  2 Cu 2.32
Ag (0.0000, 0.0000, 0.5000)  2 Cu 2.32
Ag (0.5000, 0.0000, 0.0000)  2 Cu 2.32
Cu (0.0000, 0.0000, 0.0000)  6 Ag 2.32

Values from the calculation:
calculated volume = 20.00 Å³/atom
magnetization = 0.000 μB/atom
ΔE_f (raw) = 887.4 meV/atom
space-group type = Pm-3m, No. 221